# Li4V7O12, PBEsol geometry, DFT meta-GGA SCAN
data_Li4V7O12
_chemical_formula_sum 'Li8 V14 O24'
_symmetry_space_group_name_H-M 'P 1'
_symmetry_Int_Tables_number 1
_symmetry_space_group_name_Hall 'P 1'
_cell_length_a 4.857
_cell_length_b 8.511
_cell_length_c 9.500
_cell_angle_alpha 90.00
_cell_angle_beta 98.53
_cell_angle_gamma 90.00
loop_
_atom_site_label
_atom_site_fract_x
_atom_site_fract_y
_atom_site_fract_z
_atom_site_occupancy
V1 0.193 0.578 0.003 1
O1 0.597 0.098 0.614 1
Li1 0.995 0.911 0.258 1
O2 0.129 0.404 0.134 1
O3 0.863 0.586 0.857 1
V2 0.221 0.928 0.000 1
O4 0.148 0.571 0.628 1
O5 0.374 0.417 0.886 1
O6 0.863 0.751 0.377 1
V3 0.214 0.096 0.489 1
O7 0.626 0.917 0.114 1
V4 0.500 0.251 0.750 1
Li2 0.716 0.927 0.501 1
O8 0.137 0.086 0.143 1
V5 0.779 0.428 0.000 1
V6 0.807 0.078 0.997 1
Li3 0.005 0.411 0.742 1
O9 0.871 0.904 0.866 1
O10 0.595 0.582 0.115 1
O11 0.403 0.598 0.386 1
Li4 0.497 0.426 0.257 1
O12 0.137 0.251 0.623 1
O13 0.116 0.919 0.615 1
O14 0.642 0.412 0.624 1
V7 0.209 0.744 0.502 1
O15 0.405 0.082 0.885 1
O16 0.869 0.251 0.868 1
O17 0.358 0.912 0.376 1
V8 0.791 0.244 0.498 1
V9 0.779 0.738 0.002 1
Li5 0.503 0.926 0.743 1
O18 0.131 0.751 0.132 1
O19 0.884 0.419 0.385 1
O20 0.648 0.248 0.119 1
V10 0.996 0.749 0.717 1
V11 0.786 0.596 0.511 1
V12 0.500 0.751 0.250 1
V13 0.004 0.249 0.283 1
O21 0.352 0.748 0.881 1
Li6 0.506 0.080 0.251 1
V14 0.221 0.238 0.998 1
O22 0.617 0.750 0.620 1
O23 0.852 0.071 0.372 1
Li7 0.284 0.427 0.499 1
O24 0.383 0.250 0.380 1
Li8 0.494 0.580 0.749 1
# M_tot: 2.06 μB/cell
# Space-group type: No. 4
# Uncorrected formation energy: -2.5066 eV per atom